VASP calculation (PBE) on a relaxed MgCu2ClF crystal.

Properties
SG: P4/mmm (123)
formation energy from raw total energies: -0.237 eV/atom
total DFT energy (no corrections): -0.1080 hartree per atom
ρ: 3561 kg/m3

The structure in POSCAR format:
```
MgCu2ClF
1.0
5.0471 0.0000 0.0000
0.0000 5.0471 0.0000
0.0000 0.0000 3.7678
Mg Cu Cl F
1 2 1 1
Cartesian
0.0000 0.0000 0.0000
0.0000 2.5236 0.0000
2.5236 0.0000 0.0000
2.5236 2.5236 1.8839
0.0000 0.0000 1.8839
```

---

VASP calculation (PBE) on a relaxed LiCu2Hg crystal.

Properties
SG: P2/m (10)
total DFT energy (no corrections): -0.0938 hartree per atom
calculated formation energy: 0.05 eV per atom
ρ: 9364 kg/m3

The structure in POSCAR format:
```
LiCu2Hg
1.0
2.7866 0.0000 0.0000
0.0000 4.2385 0.0000
-1.1568 0.0000 5.0239
Li Cu Hg
1 2 1
Cartesian
0.0000 0.0000 0.0000
-0.3597 2.1193 3.9053
1.9894 2.1193 1.1186
0.8149 0.0000 2.5120
```

---

VASP calculation (PBE) on a relaxed Sm2ErGa3Pd4 crystal.

Properties
SG: P-4m2 (115)
total DFT energy (no corrections): -0.1905 hartree per atom
calculated formation energy: -0.80 eV per atom
ρ: 8945 kg/m3

The structure in POSCAR format:
```
Sm2ErGa3Pd4
1.0
4.2421 0.0000 0.0000
0.0000 4.2421 0.0000
0.0000 0.0000 11.3774
Sm Er Ga Pd
2 1 3 4
Cartesian
0.0000 2.1210 2.5872
2.1210 0.0000 8.7903
0.0000 0.0000 5.6887
0.0000 2.1210 9.9733
2.1210 0.0000 1.4041
2.1210 2.1210 5.6887
0.0000 0.0000 0.0000
0.0000 2.1210 7.4707
2.1210 0.0000 3.9068
2.1210 2.1210 0.0000
```

---

VASP calculation (PBE) on a relaxed Sm2Al3Zn4Au crystal.

Properties
SG: P-4m2 (115)
total DFT energy (no corrections): -0.1220 hartree per atom
calculated formation energy: -0.42 eV per atom
ρ: 7198 kg/m3

The structure in POSCAR format:
```
Sm2Al3Zn4Au
1.0
4.2392 0.0000 0.0000
0.0000 4.2392 0.0000
0.0000 0.0000 10.7872
Sm Al Zn Au
2 3 4 1
Cartesian
0.0000 2.1196 2.6544
2.1196 0.0000 8.1328
0.0000 2.1196 9.3598
2.1196 0.0000 1.4275
2.1196 2.1196 5.3936
0.0000 0.0000 0.0000
0.0000 2.1196 6.9125
2.1196 0.0000 3.8747
2.1196 2.1196 0.0000
0.0000 0.0000 5.3936
```

---

VASP calculation (PBE) on a relaxed Sr2ZrNi crystal.

Properties
SG: I-42d (122)
total DFT energy (no corrections): -0.1462 hartree per atom
calculated formation energy: 0.44 eV per atom
ρ: 3584 kg/m3

The structure in POSCAR format:
```
Sr2ZrNi
1.0
-5.6103 5.6103 2.3930
5.6103 -5.6103 2.3930
5.6103 5.6103 -2.3930
Sr Zr Ni
4 2 2
Cartesian
1.0480 2.8052 0.5983
-2.8052 4.5623 1.7948
-1.0480 8.4155 0.5983
2.8052 6.6583 1.7948
5.6103 0.0000 1.1965
0.0000 0.0000 2.3930
0.0000 0.0000 0.0000
0.0000 5.6103 1.1965
```

---

VASP calculation (PBE) on a relaxed HfPaPt2 crystal.

Properties
SG: P4/mmm (123)
total DFT energy (no corrections): -0.3235 hartree per atom
calculated formation energy: -0.92 eV per atom
ρ: 16743 kg/m3

The structure in POSCAR format:
```
HfPaPt2
1.0
3.3310 0.0000 0.0000
0.0000 3.3310 0.0000
0.0000 0.0000 7.1480
Hf Pa Pt
1 1 2
Cartesian
0.0000 0.0000 0.0000
0.0000 0.0000 3.5740
1.6655 1.6655 1.5532
1.6655 1.6655 5.5949
```

---

VASP calculation (PBE) on a relaxed TbGdHgSb crystal.

Properties
SG: F-43m (216)
formation energy from raw total energies: -0.643 eV/atom
total DFT energy (no corrections): -0.2362 hartree per atom
ρ: 9884 kg/m3

The structure in POSCAR format:
```
TbGdHgSb
1.0
0.0000 3.7713 3.7713
3.7713 0.0000 3.7713
3.7713 3.7713 0.0000
Tb Gd Hg Sb
1 1 1 1
Cartesian
0.0000 0.0000 0.0000
3.7713 3.7713 3.7713
5.6569 5.6569 5.6569
1.8856 1.8856 1.8856
```

---

VASP calculation (PBE) on a relaxed ScCo crystal.

Properties
SG: P-6m2 (187)
total DFT energy (no corrections): -0.2451 hartree per atom
calculated formation energy: 0.05 eV per atom
ρ: 5315 kg/m3

The structure in POSCAR format:
```
ScCo
1.0
3.1367 0.0000 0.0000
-1.5684 2.7165 0.0000
0.0000 0.0000 3.8093
Sc Co
1 1
Cartesian
0.0000 0.0000 0.0000
1.5684 0.9055 1.9046
```